Record 1
# NdZn2Cu6, optimized geometry, DFT PBE-GGA
# **V**: 166.1 Å³/f.u.
# **Magnetic moment**: 0.00 Bohr magnetons per cell
# **Energy relative to the elements**: 0.361 eV/atom
# **Crystal system**: cubic
data_NdZn2Cu6
_chemical_formula_sum 'Nd2 Zn4 Cu12'
_symmetry_space_group_name_H-M 'P 1'
_symmetry_Int_Tables_number 1
_cell_length_a 7.7737
_cell_length_b 7.7737
_cell_length_c 7.7737
_cell_angle_alpha 60.00
_cell_angle_beta 60.00
_cell_angle_gamma 60.00
loop_
_symmetry_equiv_pos_as_xyz
'x,y,z'
loop_
_atom_site_label
_atom_site_type_symbol
_atom_site_fract_x
_atom_site_fract_y
_atom_site_fract_z
_atom_site_occupancy
Cu1 Cu 0.0028 0.0028 0.4972 1
Zn1 Zn 0.1250 0.1250 0.1250 1
Nd1 Nd 0.5000 0.5000 0.5000 1
Zn2 Zn 0.1250 0.6250 0.1250 1
Cu2 Cu 0.7528 0.2472 0.7528 1
Cu3 Cu 0.7528 0.2472 0.2472 1
Cu4 Cu 0.4972 0.4972 0.0028 1
Cu5 Cu 0.4972 0.0028 0.0028 1
Cu6 Cu 0.2472 0.2472 0.7528 1
Zn3 Zn 0.1250 0.1250 0.6250 1
Cu7 Cu 0.2472 0.7528 0.2472 1
Cu8 Cu 0.7528 0.7528 0.2472 1
Cu9 Cu 0.4972 0.0028 0.4972 1
Zn4 Zn 0.6250 0.1250 0.1250 1
Cu10 Cu 0.2472 0.7528 0.7528 1
Cu11 Cu 0.0028 0.4972 0.0028 1
Cu12 Cu 0.0028 0.4972 0.4972 1
Nd2 Nd 0.7500 0.7500 0.7500 1

***

Record 2
# Tl3Cd8Bi3, optimized geometry, DFT PBE-GGA
# **V**: 407.6 Å³/f.u.
# **Magnetic moment**: 0.00 Bohr magnetons per cell
# **Energy relative to the elements**: 0.048 eV/atom
# **Crystal system**: orthorhombic
data_Tl3Cd8Bi3
_chemical_formula_sum 'Tl3 Cd8 Bi3'
_symmetry_space_group_name_H-M 'P 1'
_symmetry_Int_Tables_number 1
_cell_length_a 5.1707
_cell_length_b 9.4153
_cell_length_c 9.4153
_cell_angle_alpha 70.80
_cell_angle_beta 74.06
_cell_angle_gamma 74.06
loop_
_symmetry_equiv_pos_as_xyz
'x,y,z'
loop_
_atom_site_label
_atom_site_type_symbol
_atom_site_fract_x
_atom_site_fract_y
_atom_site_fract_z
_atom_site_occupancy
Cd1 Cd 0.3596 0.3729 0.9080 1
Cd2 Cd 0.1714 0.4595 0.1977 1
Cd3 Cd 0.8286 0.8023 0.5405 1
Cd4 Cd 0.6404 0.6271 0.0920 1
Cd5 Cd 0.6404 0.0920 0.6271 1
Tl1 Tl 0.5000 0.5000 0.5000 1
Tl2 Tl 0.2040 0.7960 0.7960 1
Bi1 Bi 0.0000 0.2028 0.7972 1
Tl3 Tl 0.7960 0.2040 0.2040 1
Bi2 Bi 0.5000 0.0000 0.0000 1
Cd6 Cd 0.8286 0.5405 0.8023 1
Cd7 Cd 0.3596 0.9080 0.3729 1
Cd8 Cd 0.1714 0.1977 0.4595 1
Bi3 Bi 0.0000 0.7972 0.2028 1

***

Record 3
# ScCoSi, optimized geometry, DFT PBE-GGA
# **Uncorrected formation energy**: -845 meV per atom
# **V**: 43.9 Å³/f.u.
# **Magnetic moment**: 0.00 Bohr magnetons per cell
# **Crystal system**: orthorhombic
data_ScCoSi
_chemical_formula_sum 'Sc4 Co4 Si4'
_symmetry_space_group_name_H-M 'P 1'
_symmetry_Int_Tables_number 1
_cell_length_a 3.9898
_cell_length_b 6.4428
_cell_length_c 6.8265
_cell_angle_alpha 90.00
_cell_angle_beta 90.00
_cell_angle_gamma 90.00
loop_
_symmetry_equiv_pos_as_xyz
'x,y,z'
loop_
_atom_site_label
_atom_site_type_symbol
_atom_site_fract_x
_atom_site_fract_y
_atom_site_fract_z
_atom_site_occupancy
Sc1 Sc 0.2500 0.4928 0.8066 1
Co1 Co 0.2500 0.6524 0.4381 1
Si1 Si 0.7500 0.7057 0.6095 1
Co2 Co 0.7500 0.8476 0.9381 1
Sc2 Sc 0.7500 0.5072 0.1934 1
Sc3 Sc 0.2500 0.9928 0.6934 1
Co3 Co 0.2500 0.1524 0.0619 1
Co4 Co 0.7500 0.3476 0.5619 1
Si2 Si 0.7500 0.2057 0.8905 1
Si3 Si 0.2500 0.7943 0.1095 1
Sc4 Sc 0.7500 0.0072 0.3066 1
Si4 Si 0.2500 0.2943 0.3905 1

***

Record 4
# NdYZnNi, optimized geometry, DFT PBE-GGA
# **V**: 89.0 Å³/f.u.
# **Magnetic moment**: 0.00 Bohr magnetons per cell
# **Energy relative to the elements**: -0.283 eV/atom
# **Energy relative to the lowest polymorph listed for this composition**: 28.1 meV/atom
# **Crystal system**: cubic
data_NdYZnNi
_chemical_formula_sum 'Nd1 Y1 Zn1 Ni1'
_symmetry_space_group_name_H-M 'P 1'
_symmetry_Int_Tables_number 1
_cell_length_a 5.0106
_cell_length_b 5.0106
_cell_length_c 5.0106
_cell_angle_alpha 60.00
_cell_angle_beta 60.00
_cell_angle_gamma 60.00
loop_
_symmetry_equiv_pos_as_xyz
'x,y,z'
loop_
_atom_site_label
_atom_site_type_symbol
_atom_site_fract_x
_atom_site_fract_y
_atom_site_fract_z
_atom_site_occupancy
Zn1 Zn 0.7500 0.7500 0.7500 1
Ni1 Ni 0.2500 0.2500 0.2500 1
Y1 Y 0.5000 0.5000 0.5000 1
Nd1 Nd 0.0000 0.0000 0.0000 1

***

Record 5
# SrNdGaAu, optimized geometry, DFT PBE-GGA
# **V**: 108.2 Å³/f.u.
# **Magnetic moment**: 0.00 Bohr magnetons per cell
# **Energy relative to the elements**: -0.555 eV/atom
# **Crystal system**: cubic
data_SrNdGaAu
_chemical_formula_sum 'Sr1 Nd1 Ga1 Au1'
_symmetry_space_group_name_H-M 'P 1'
_symmetry_Int_Tables_number 1
_cell_length_a 5.3480
_cell_length_b 5.3480
_cell_length_c 5.3480
_cell_angle_alpha 60.00
_cell_angle_beta 60.00
_cell_angle_gamma 60.00
loop_
_symmetry_equiv_pos_as_xyz
'x,y,z'
loop_
_atom_site_label
_atom_site_type_symbol
_atom_site_fract_x
_atom_site_fract_y
_atom_site_fract_z
_atom_site_occupancy
Au1 Au 0.7500 0.7500 0.7500 1
Sr1 Sr 0.5000 0.5000 0.5000 1
Ga1 Ga 0.2500 0.2500 0.2500 1
Nd1 Nd 0.0000 0.0000 0.0000 1

***

Record 6
# InAg3Hg, optimized geometry, DFT PBE-GGA
# **V**: 101.1 Å³/f.u.
# **Magnetic moment**: 0.00 Bohr magnetons per cell
# **Energy relative to the elements**: 0.032 eV/atom
# **Energy relative to the lowest polymorph listed for this composition**: 19.7 meV/atom
# **Crystal system**: triclinic
data_InAg3Hg
_chemical_formula_sum 'In2 Ag6 Hg2'
_symmetry_space_group_name_H-M 'P 1'
_symmetry_Int_Tables_number 1
_cell_length_a 4.8732
_cell_length_b 5.3708
_cell_length_c 8.1042
_cell_angle_alpha 89.86
_cell_angle_beta 72.42
_cell_angle_gamma 90.00
loop_
_symmetry_equiv_pos_as_xyz
'x,y,z'
loop_
_atom_site_label
_atom_site_type_symbol
_atom_site_fract_x
_atom_site_fract_y
_atom_site_fract_z
_atom_site_occupancy
Ag1 Ag 0.4680 0.0836 0.7816 1
Hg1 Hg 0.1599 0.7265 0.3993 1
Ag2 Ag 0.9681 0.7273 0.7819 1
Ag3 Ag 0.5610 0.5684 0.5963 1
In1 In 0.6587 0.0860 0.4020 1
Ag4 Ag 0.0605 0.2454 0.5969 1
Hg2 Hg 0.8665 0.1725 0.9847 1
In2 In 0.3696 0.6292 0.9790 1
Ag5 Ag 0.7593 0.6066 0.2002 1
Ag6 Ag 0.2567 0.2104 0.2054 1

***

Record 7
# Ta2NbCuH, optimized geometry, DFT PBE-GGA
# **V**: 69.8 Å³/f.u.
# **Magnetic moment**: 0.00 Bohr magnetons per cell
# **Energy relative to the lowest polymorph listed for this composition**: 24.6 meV/atom
# **Crystal system**: tetragonal
data_Ta2NbCuH
_chemical_formula_sum 'Ta2 Nb1 Cu1 H1'
_symmetry_space_group_name_H-M 'P 1'
_symmetry_Int_Tables_number 1
_cell_length_a 4.2522
_cell_length_b 4.2522
_cell_length_c 3.8587
_cell_angle_alpha 90.00
_cell_angle_beta 90.00
_cell_angle_gamma 90.00
loop_
_symmetry_equiv_pos_as_xyz
'x,y,z'
loop_
_atom_site_label
_atom_site_type_symbol
_atom_site_fract_x
_atom_site_fract_y
_atom_site_fract_z
_atom_site_occupancy
Ta1 Ta 0.5000 0.0000 0.0000 1
Cu1 Cu 0.5000 0.5000 0.5000 1
Nb1 Nb 0.0000 0.0000 0.5000 1
Ta2 Ta 0.0000 0.5000 0.0000 1
H1 H 0.0000 0.0000 0.0000 1

***

Record 8
# Pr4MnSn8, optimized geometry, DFT PBE-GGA
# **V**: 358.8 Å³/f.u.
# **Magnetic moment**: 3.68 Bohr magnetons per cell
# **Energy relative to the elements**: -0.558 eV/atom
# **Crystal system**: orthorhombic
data_Pr4MnSn8
_chemical_formula_sum 'Pr4 Mn1 Sn8'
_symmetry_space_group_name_H-M 'P 1'
_symmetry_Int_Tables_number 1
_cell_length_a 4.4930
_cell_length_b 4.5769
_cell_length_c 17.4470
_cell_angle_alpha 90.00
_cell_angle_beta 90.00
_cell_angle_gamma 90.00
loop_
_symmetry_equiv_pos_as_xyz
'x,y,z'
loop_
_atom_site_label
_atom_site_type_symbol
_atom_site_fract_x
_atom_site_fract_y
_atom_site_fract_z
_atom_site_occupancy
Pr1 Pr 0.5000 0.5000 0.3953 1
Sn1 Sn 0.5000 0.5000 0.0502 1
Sn2 Sn 0.0000 0.5000 0.9336 1
Sn3 Sn 0.0000 0.0000 0.7502 1
Sn4 Sn 0.5000 0.0000 0.2329 1
Pr2 Pr 0.0000 0.5000 0.6066 1
Sn5 Sn 0.0000 0.0000 0.4629 1
Pr3 Pr 0.0000 0.0000 0.0951 1
Pr4 Pr 0.5000 0.0000 0.8972 1
Sn6 Sn 0.5000 0.0000 0.5761 1
Mn1 Mn 0.0000 0.0000 0.3137 1
Sn7 Sn 0.5000 0.5000 0.7543 1
Sn8 Sn 0.0000 0.5000 0.2350 1

***

Record 9
# Sm6Er8Tm, optimized geometry, DFT PBE-GGA
# **V**: 485.7 Å³/f.u.
# **Magnetic moment**: 0.00 Bohr magnetons per cell
# **Energy relative to the elements**: 0.122 eV/atom
# **Energy relative to the lowest polymorph listed for this composition**: 0.0 meV/atom
# **Crystal system**: trigonal
data_Sm6Er8Tm
_chemical_formula_sum 'Sm6 Er8 Tm1'
_symmetry_space_group_name_H-M 'P 1'
_symmetry_Int_Tables_number 1
_cell_length_a 9.0264
_cell_length_b 9.0264
_cell_length_c 8.6339
_cell_angle_alpha 58.48
_cell_angle_beta 58.48
_cell_angle_gamma 60.00
loop_
_symmetry_equiv_pos_as_xyz
'x,y,z'
loop_
_atom_site_label
_atom_site_type_symbol
_atom_site_fract_x
_atom_site_fract_y
_atom_site_fract_z
_atom_site_occupancy
Sm1 Sm 0.4607 0.8939 0.8708 1
Er1 Er 0.8890 0.2538 0.5770 1
Er2 Er 0.5767 0.5767 0.2699 1
Er3 Er 0.7462 0.7197 0.4230 1
Tm1 Tm 0.0000 0.0000 0.0000 1
Er4 Er 0.2538 0.2803 0.5770 1
Er5 Er 0.4233 0.4233 0.7301 1
Er6 Er 0.1110 0.7462 0.4230 1
Sm2 Sm 0.7746 0.4607 0.8708 1
Sm3 Sm 0.2254 0.5393 0.1292 1
Er7 Er 0.2803 0.8890 0.5770 1
Sm4 Sm 0.5393 0.1061 0.1292 1
Er8 Er 0.7197 0.1110 0.4230 1
Sm5 Sm 0.8939 0.7746 0.8708 1
Sm6 Sm 0.1061 0.2254 0.1292 1

***

Record 10
# CaTl2CuI5, optimized geometry, DFT PBE-GGA
# **Uncorrected formation energy**: -860 meV per atom
# **V**: 348.7 Å³/f.u.
# **Magnetic moment**: 0.00 Bohr magnetons per cell
# **Crystal system**: orthorhombic
data_CaTl2CuI5
_chemical_formula_sum 'Ca2 Tl4 Cu2 I10'
_symmetry_space_group_name_H-M 'P 1'
_symmetry_Int_Tables_number 1
_cell_length_a 4.5273
_cell_length_b 10.5071
_cell_length_c 15.0152
_cell_angle_alpha 90.00
_cell_angle_beta 90.00
_cell_angle_gamma 102.44
loop_
_symmetry_equiv_pos_as_xyz
'x,y,z'
loop_
_atom_site_label
_atom_site_type_symbol
_atom_site_fract_x
_atom_site_fract_y
_atom_site_fract_z
_atom_site_occupancy
Tl1 Tl 0.8860 0.7720 0.1843 1
I1 I 0.3496 0.6992 0.0130 1
I2 I 0.2963 0.5926 0.6694 1
I3 I 0.9565 0.9129 0.5180 1
Tl2 Tl 0.8793 0.7587 0.8339 1
I4 I 0.7037 0.4074 0.1694 1
I5 I 0.3082 0.6164 0.3768 1
Tl3 Tl 0.1207 0.2413 0.3339 1
I6 I 0.4997 0.9994 0.2770 1
I7 I 0.6504 0.3008 0.5130 1
I8 I 0.6918 0.3836 0.8768 1
Cu1 Cu 0.4358 0.8715 0.4274 1
Tl4 Tl 0.1140 0.2280 0.6843 1
Cu2 Cu 0.5642 0.1285 0.9274 1
I9 I 0.5003 0.0006 0.7770 1
Ca1 Ca 0.8039 0.6079 0.5241 1
I10 I 0.0435 0.0871 0.0180 1
Ca2 Ca 0.1961 0.3921 0.0241 1

***

Record 11
# TbGe2Se3, optimized geometry, DFT PBE-GGA
# **Uncorrected formation energy**: -762 meV per atom
# **V**: 183.2 Å³/f.u.
# **Magnetic moment**: 0.00 Bohr magnetons per cell
# **Crystal system**: monoclinic
data_TbGe2Se3
_chemical_formula_sum 'Tb2 Ge4 Se6'
_symmetry_space_group_name_H-M 'P 1'
_symmetry_Int_Tables_number 1
_cell_length_a 3.9996
_cell_length_b 8.4180
_cell_length_c 11.5963
_cell_angle_alpha 69.80
_cell_angle_beta 90.00
_cell_angle_gamma 90.00
loop_
_symmetry_equiv_pos_as_xyz
'x,y,z'
loop_
_atom_site_label
_atom_site_type_symbol
_atom_site_fract_x
_atom_site_fract_y
_atom_site_fract_z
_atom_site_occupancy
Se1 Se 0.7500 0.6640 0.0043 1
Se2 Se 0.7500 0.4505 0.3640 1
Se3 Se 0.2500 0.3360 0.9957 1
Tb1 Tb 0.7500 0.2971 0.1888 1
Ge1 Ge 0.7500 0.7517 0.5308 1
Ge2 Ge 0.2500 0.0268 0.0574 1
Ge3 Ge 0.2500 0.2483 0.4692 1
Se4 Se 0.2500 0.0698 0.3256 1
Se5 Se 0.7500 0.9302 0.6744 1
Tb2 Tb 0.2500 0.7029 0.8112 1
Ge4 Ge 0.7500 0.9732 0.9426 1
Se6 Se 0.2500 0.5495 0.6360 1

***

Repeat the third record exactly.
# ScCoSi, optimized geometry, DFT PBE-GGA
# **Uncorrected formation energy**: -845 meV per atom
# **V**: 43.9 Å³/f.u.
# **Magnetic moment**: 0.00 Bohr magnetons per cell
# **Crystal system**: orthorhombic
data_ScCoSi
_chemical_formula_sum 'Sc4 Co4 Si4'
_symmetry_space_group_name_H-M 'P 1'
_symmetry_Int_Tables_number 1
_cell_length_a 3.9898
_cell_length_b 6.4428
_cell_length_c 6.8265
_cell_angle_alpha 90.00
_cell_angle_beta 90.00
_cell_angle_gamma 90.00
loop_
_symmetry_equiv_pos_as_xyz
'x,y,z'
loop_
_atom_site_label
_atom_site_type_symbol
_atom_site_fract_x
_atom_site_fract_y
_atom_site_fract_z
_atom_site_occupancy
Sc1 Sc 0.2500 0.4928 0.8066 1
Co1 Co 0.2500 0.6524 0.4381 1
Si1 Si 0.7500 0.7057 0.6095 1
Co2 Co 0.7500 0.8476 0.9381 1
Sc2 Sc 0.7500 0.5072 0.1934 1
Sc3 Sc 0.2500 0.9928 0.6934 1
Co3 Co 0.2500 0.1524 0.0619 1
Co4 Co 0.7500 0.3476 0.5619 1
Si2 Si 0.7500 0.2057 0.8905 1
Si3 Si 0.2500 0.7943 0.1095 1
Sc4 Sc 0.7500 0.0072 0.3066 1
Si4 Si 0.2500 0.2943 0.3905 1

***

What is the magnetic moment in the sixth record?
0.00 Bohr magnetons per cell